No. 1
# In2TcNi | Alexandria via LeMat-Bulk | PBE-GGA | relaxed
# electronic total energy: -77.81 eV for the cell shown
# N(E_F): 2.92 states/eV/f.u.
data_In2TcNi
_space_group_name_H-M_alt 'I -4 2 d'
_space_group_IT_number 122
_space_group_name_Hall 'I -4 2bw'
_cell_length_a 7.196
_cell_length_b 7.196
_cell_length_c 5.706
_cell_angle_alpha 90.00
_cell_angle_beta 90.00
_cell_angle_gamma 90.00
loop_
_atom_site_label
_atom_site_fract_x
_atom_site_fract_y
_atom_site_fract_z
In1 0.223 0.250 0.125
Tc1 0.000 0.000 0.500
Ni1 0.000 0.000 0.000

---

No. 2
# AcSi4Pd12 | Alexandria via LeMat-Bulk | PBE-GGA | relaxed
# energy relative to the elements, uncorrected: -0.46 eV per atom
# electronic total energy: -191.81 eV for the cell shown
# N(E_F): 6.33 states/eV/f.u.
data_AcSi4Pd12
_space_group_name_H-M_alt 'I m -3'
_space_group_IT_number 204
_space_group_name_Hall '-I 2 2 3'
_cell_length_a 8.459
_cell_length_b 8.459
_cell_length_c 8.459
_cell_angle_alpha 90.00
_cell_angle_beta 90.00
_cell_angle_gamma 90.00
loop_
_atom_site_label
_atom_site_fract_x
_atom_site_fract_y
_atom_site_fract_z
Ac1 0.000 0.000 0.000
Si1 0.250 0.250 0.250
Pd1 0.000 0.170 0.342

---

No. 3
# AlTlTe2 | Alexandria via LeMat-Bulk | PBE-GGA | relaxed
# energy relative to the elements, uncorrected: -0.32 eV per atom
# electronic total energy: -13.67 eV for the cell shown
# N(E_F): 0.00 states/eV/f.u.
data_AlTlTe2
_space_group_name_H-M_alt 'P 3 m 1'
_space_group_IT_number 156
_space_group_name_Hall 'P 3 -2"'
_cell_length_a 4.3442
_cell_length_b 4.3442
_cell_length_c 9.0743
_cell_angle_alpha 90.00
_cell_angle_beta 90.00
_cell_angle_gamma 120.00
loop_
_atom_site_label
_atom_site_fract_x
_atom_site_fract_y
_atom_site_fract_z
Al1 0.0000 0.0000 0.0000
Tl1 0.6667 0.3333 0.4836
Te1 0.0000 0.0000 0.2792
Te2 0.3333 0.6667 0.8720

---

No. 4
# GdMgBi2 | Alexandria via LeMat-Bulk | PBE-GGA | relaxed
# polymorph energy (0 for the lowest one): 0.0000 eV per atom
# electronic total energy: -25.34 eV for the cell shown
# N(E_F): 2.34 states/eV/f.u.
data_GdMgBi2
_space_group_name_H-M_alt 'P 4/m m m'
_space_group_IT_number 123
_space_group_name_Hall '-P 4 2'
_cell_length_a 5.131
_cell_length_b 5.131
_cell_length_c 4.279
_cell_angle_alpha 90.00
_cell_angle_beta 90.00
_cell_angle_gamma 90.00
loop_
_atom_site_label
_atom_site_fract_x
_atom_site_fract_y
_atom_site_fract_z
Gd1 0.000 0.000 0.000
Mg1 0.500 0.500 0.000
Bi1 0.000 0.500 0.500